Material: Mg2PtPb2
Method: DFT, PBE
State: relaxed

a b c (Å): 6.933 6.933 5.003
angles (deg): 90.00 90.00 90.00
Fractional positions:
1 Mg 0.157 0.343 0.000
2 Mg 0.343 0.843 0.000
3 Mg 0.657 0.157 0.000
4 Mg 0.843 0.657 0.000
5 Pt 0.000 0.000 0.000
6 Pt 0.500 0.500 0.000
7 Pb 0.171 0.671 0.500
8 Pb 0.329 0.171 0.500
9 Pb 0.671 0.829 0.500
10 Pb 0.829 0.329 0.500

Calculated values
raw total energy = -34.5 eV for the cell shown
total magnetization = 0.000 μB per cell
calculated formation energy = -0.12 eV/atom
symmetry = No. 127

***

Material: Mg2Pt2Pb
Method: DFT, PBE
State: relaxed

a b c (Å): 4.135 4.135 12.069
angles (deg): 90.00 90.00 90.00
Fractional positions:
1 Mg 0.000 0.500 0.250
2 Mg 0.000 0.500 0.750
3 Mg 0.500 0.000 0.250
4 Mg 0.500 0.000 0.750
5 Pt 0.000 0.000 0.111
6 Pt 0.000 0.000 0.889
7 Pt 0.500 0.500 0.389
8 Pt 0.500 0.500 0.611
9 Pb 0.000 0.000 0.500
10 Pb 0.500 0.500 0.000

Calculated values
raw total energy = -42.4 eV for the cell shown
total magnetization = 0.000 μB per cell
calculated formation energy = -0.45 eV/atom
symmetry = No. 139